## i
Material: SrSiGe
Method: DFT, PBE
State: optimized geometry

Cell: 4.3137 4.3137 4.5884 Å, 90.00 90.00 120.00°
With the nearest neighbours (Å) after each atom.
Fractional coordinates of all 3 atoms:
1 Sr 0.0000 0.0000 0.0000  6 Si 3.39, 6 Ge 3.39
2 Si 0.6667 0.3333 0.5000  3 Ge 2.49
3 Ge 0.3333 0.6667 0.5000  3 Si 2.49

Computed properties:
N(E_F) = 1.3 states/eV per cell
Density = 4.23 g/cm3

## ii
Material: SrSiGe
Method: DFT, PBE
State: optimized geometry

Cell: 6.5141 6.5141 6.5141 Å, 144.41 97.99 92.74°
With the nearest neighbours (Å) after each atom.
Fractional coordinates of all 6 atoms:
1 Sr 0.2335 0.2335 0.0000  4 Si 3.32, 6 Ge 3.37-3.49
2 Sr 0.7665 0.7665 0.0000  4 Si 3.32, 6 Ge 3.37-3.49
3 Si 0.3647 0.0000 0.3647  1 Si 2.31, 2 Ge 2.42
4 Si 0.6353 0.0000 0.6353  1 Si 2.31, 2 Ge 2.42
5 Ge 0.2028 0.5000 0.7028  2 Si 2.42
6 Ge 0.7972 0.5000 0.2972  2 Si 2.42

Computed properties:
N(E_F) = 1.8 states/eV per cell
Density = 4.09 g/cm3

Most stable to least stable: ii, i

## i
Material: Ta2Si2Ge
Method: DFT, PBE
State: optimized geometry

Cell: 6.7500 6.7500 3.4722 Å, 90.00 90.00 90.00°
With the nearest neighbours (Å) after each atom.
Fractional coordinates of all 10 atoms:
1 Ta 0.1726 0.3274 0.0000  6 Si 2.60-2.68
2 Ta 0.3274 0.8274 0.0000  6 Si 2.60-2.68
3 Ta 0.6726 0.1726 0.0000  6 Si 2.60-2.68
4 Ta 0.8274 0.6726 0.0000  6 Si 2.60-2.68
5 Si 0.1251 0.6251 0.5000  1 Si 2.39, 6 Ta 2.60-2.68, 2 Ge 2.67
6 Si 0.3749 0.1251 0.5000  1 Si 2.39, 6 Ta 2.60-2.68, 2 Ge 2.67
7 Si 0.6251 0.8749 0.5000  1 Si 2.39, 6 Ta 2.60-2.68, 2 Ge 2.67
8 Si 0.8749 0.3749 0.5000  1 Si 2.39, 6 Ta 2.60-2.68, 2 Ge 2.67
9 Ge 0.0000 0.0000 0.5000  4 Si 2.67
10 Ge 0.5000 0.5000 0.5000  4 Si 2.67

Computed properties:
N(E_F) = 7.0 states/eV per cell
Density = 10.30 g/cm3

## ii
Material: Ta2Si2Ge
Method: DFT, PBE
State: optimized geometry

Cell: 6.9011 6.9011 3.5117 Å, 90.00 90.00 90.00°
With the nearest neighbours (Å) after each atom.
Fractional coordinates of all 10 atoms:
1 Ta 0.1574 0.3426 0.0000  2 Ge 2.60, 6 Si 2.68
2 Ta 0.3426 0.8426 0.0000  2 Ge 2.60, 6 Si 2.68
3 Ta 0.6574 0.1574 0.0000  2 Ge 2.60, 6 Si 2.68
4 Ta 0.8426 0.6574 0.0000  2 Ge 2.60, 6 Si 2.68
5 Si 0.1344 0.6344 0.5000  1 Si 2.62, 6 Ta 2.68
6 Si 0.3656 0.1344 0.5000  1 Si 2.62, 6 Ta 2.68
7 Si 0.6344 0.8656 0.5000  1 Si 2.62, 6 Ta 2.68
8 Si 0.8656 0.3656 0.5000  1 Si 2.62, 6 Ta 2.68
9 Ge 0.0000 0.0000 0.0000  4 Ta 2.60
10 Ge 0.5000 0.5000 0.0000  4 Ta 2.60

Computed properties:
N(E_F) = 2.6 states/eV per cell
Density = 9.74 g/cm3

Most stable to least stable: ii, i

## i
Material: TaSiGe3
Method: DFT, PBE
State: optimized geometry

Cell: 4.6684 4.6684 4.6684 Å, 90.00 90.00 90.00°
With the nearest neighbours (Å) after each atom.
Fractional coordinates of all 5 atoms:
1 Ta 0.0000 0.0000 0.0000  12 Ge 3.30
2 Si 0.5000 0.5000 0.5000  6 Ge 2.33
3 Ge 0.0000 0.5000 0.5000  2 Si 2.33
4 Ge 0.5000 0.0000 0.5000  2 Si 2.33
5 Ge 0.5000 0.5000 0.0000  2 Si 2.33

Computed properties:
N(E_F) = 5.2 states/eV per cell
Density = 6.97 g/cm3

## ii
Material: TaSiGe3
Method: DFT, PBE
State: optimized geometry

Cell: 5.0131 5.0131 5.0131 Å, 90.00 90.00 90.00°
With the nearest neighbours (Å) after each atom.
Fractional coordinates of all 5 atoms:
1 Ta 0.0000 0.0000 0.0000  6 Ge 2.51
2 Si 0.5000 0.5000 0.5000  12 Ge 3.54
3 Ge 0.0000 0.0000 0.5000  2 Ta 2.51
4 Ge 0.0000 0.5000 0.0000  2 Ta 2.51
5 Ge 0.5000 0.0000 0.0000  2 Ta 2.51

Computed properties:
N(E_F) = 5.5 states/eV per cell
Density = 5.63 g/cm3

Most stable to least stable: ii, i